The following is a GGA-PBEsol calculation of crystalline CdWN2O at its relaxed geometry, from the Alexandria database.

ρ = 9.3 g cm⁻³
Spin magnetization = 0.0 μB/cell
Energy relative to the elements, uncorrected = -376.8 meV per atom

Unit cell a=3.832 b=3.983 c=3.983 alpha=90.00 beta=90.00 gamma=90.00
Fractional positions:
N 0.000 0.000 0.500
N 0.000 0.500 0.000
W 0.000 0.000 0.000
O 0.500 0.000 0.000
Cd 0.500 0.500 0.500


The following is a GGA-PBEsol calculation of crystalline Rb at its relaxed geometry, from the Alexandria database.

Uncorrected energy = -0.075 Ry per atom
ρ = 1.6 g cm⁻³
Spin magnetization = 0.0 μB/cell

Unit cell a=11.992 b=11.992 c=11.992 alpha=90.00 beta=90.00 gamma=90.00
Fractional positions:
Rb 0.562 0.438 0.938
Rb 0.297 0.547 0.625
Rb 0.875 0.703 0.047
Rb 0.438 0.938 0.562
Rb 0.812 0.312 0.188
Rb 0.125 0.203 0.453
Rb 0.953 0.375 0.797
Rb 0.047 0.875 0.703
Rb 0.688 0.688 0.688
Rb 0.797 0.953 0.375
Rb 0.625 0.297 0.547
Rb 0.547 0.625 0.297
Rb 0.453 0.125 0.203
Rb 0.375 0.797 0.953
Rb 0.938 0.562 0.438
Rb 0.062 0.062 0.062
Rb 0.312 0.188 0.812
Rb 0.703 0.047 0.875
Rb 0.188 0.812 0.312
Rb 0.203 0.453 0.125


| no. | DOS at the Fermi energy (states/eV/atom) |
| --- | --- |
| 1 | 0.252 |
| 2 | 0.871 |